Material: KPaTlS3
Method: DFT, GGA-PBE
State: optimized geometry

CIF file:
```
data_KPaTlS3
_symmetry_space_group_name_H-M 'P 1'
_symmetry_Int_Tables_number 1
_cell_length_a 8.253
_cell_length_b 8.253
_cell_length_c 11.609
_cell_angle_alpha 90.00
_cell_angle_beta 90.00
_cell_angle_gamma 151.28
loop_
_symmetry_equiv_pos_as_xyz
'x,y,z'
loop_
_atom_site_label
_atom_site_fract_x
_atom_site_fract_y
_atom_site_fract_z
Tl1 0.360 0.640 0.750
K1 0.658 0.342 0.750
Pa1 0.000 0.000 0.000
S1 0.610 0.390 0.996
Pa2 0.000 0.000 0.500
Tl2 0.640 0.360 0.250
S2 0.994 0.006 0.750
S3 0.006 0.994 0.250
S4 0.610 0.390 0.504
S5 0.390 0.610 0.496
K2 0.342 0.658 0.250
S6 0.390 0.610 0.004
```

Calculated values
E_tot   -0.3963 Ry per atom